Entry from Alexandria via LeMat-Bulk: Lu2TiNb after structural relaxation (PBE).

Summary:
Energy relative to the elements ... 306 meV per atom
Magnetic moment ... 0.000 Bohr magnetons per cell

Cell: 3.1700 3.1700 30.9288 Å, 90.00 90.00 120.00°
Space group R-3m (No. 166, hexagonal axes)
Asymmetric unit:
Lu 0.0000 0.0000 0.2503 x6
Ti 0.0000 0.0000 0.0000 x3
Nb 0.0000 0.0000 0.5000 x3

=====

Entry from Alexandria via LeMat-Bulk: LuTi2Nb after structural relaxation (PBE).

Summary:
Energy relative to the elements ... 208 meV per atom
Magnetic moment ... 0.035 Bohr magnetons per cell
ΔE to the lowest computed polymorph ... 0.56 eV per formula unit

Cell: 6.7937 6.7937 6.7937 Å, 90.00 90.00 90.00°
Space group Fm-3m (No. 225)
Asymmetric unit:
Lu 0.0000 0.0000 0.0000 x4
Ti 0.2500 0.2500 0.2500 x8
Nb 0.0000 0.0000 0.5000 x4

=====

Entry from Alexandria via LeMat-Bulk: LuTi2Nb after structural relaxation (PBE).

Summary:
Energy relative to the elements ... 67 meV per atom
Magnetic moment ... 0.015 Bohr magnetons per cell
ΔE to the lowest computed polymorph ... 0.00 eV per formula unit

Cell: 3.4540 3.4540 6.7998 Å, 90.00 90.00 90.00°
Space group P4/mmm (No. 123)
Asymmetric unit:
Lu 0.0000 0.0000 0.0000 x1
Ti 0.5000 0.5000 0.3002 x2
Nb 0.0000 0.0000 0.5000 x1

=====

Entry from Alexandria via LeMat-Bulk: LuZrTiNb after structural relaxation (PBE).

Summary:
Energy relative to the elements ... 209 meV per atom
Magnetic moment ... 1.504 Bohr magnetons per cell

Cell: 6.9634 6.9634 6.9634 Å, 90.00 90.00 90.00°
Space group F-43m (No. 216)
Asymmetric unit:
Lu 0.0000 0.0000 0.0000 x4
Zr 0.2500 0.2500 0.2500 x4
Ti 0.2500 0.2500 0.7500 x4
Nb 0.0000 0.0000 0.5000 x4

=====

Entry from Alexandria via LeMat-Bulk: Lu2NbTl after structural relaxation (PBE).

Summary:
Energy relative to the elements ... 12 meV per atom
Magnetic moment ... 1.060 Bohr magnetons per cell

Cell: 3.5412 3.5412 7.8377 Å, 90.00 90.00 90.00°
Space group P4/mmm (No. 123)
Asymmetric unit:
Lu 0.0000 0.0000 0.2337 x2
Nb 0.5000 0.5000 0.0000 x1
Tl 0.5000 0.5000 0.5000 x1

=====

Entry from Alexandria via LeMat-Bulk: TmLu2Nb after structural relaxation (PBE).

Summary:
Energy relative to the elements ... 298 meV per atom
Magnetic moment ... 10.112 Bohr magnetons per cell

Cell: 7.4592 7.4592 7.4592 Å, 90.00 90.00 90.00°
Space group Fm-3m (No. 225)
Asymmetric unit:
Tm 0.0000 0.0000 0.0000 x4
Lu 0.2500 0.2500 0.2500 x8
Nb 0.0000 0.0000 0.5000 x4